No. 1
A plane-wave DFT calculation with PBE was carried out for LaReRu2 after structural relaxation.

a = 4.849 Å, b = 4.849 Å, c = 3.006 Å
α = 90.00°, β = 90.00°, γ = 90.00°
Space group P4/mmm (No. 123)
Symmetry-distinct sites (fractional):
La  0.000  0.000  0.000
Re  0.500  0.500  0.000
Ru  0.000  0.500  0.500

- density of states at the Fermi level (states/eV per cell) = 6.03
- formation energy (meV per atom) = 449
- M_tot (μB/cell) = 0.3
- energy above the lowest structure with this stoichiometry (meV/atom) = 313
- V (Å³/cell) = 70.7



No. 2
A plane-wave DFT calculation with PBE was carried out for Cr3TePb after structural relaxation.

a = 4.726 Å, b = 4.726 Å, c = 4.726 Å
α = 90.00°, β = 90.00°, γ = 90.00°
Space group Pm-3m (No. 221)
Symmetry-distinct sites (fractional):
Cr  0.000  0.000  0.500
Te  0.000  0.000  0.000
Pb  0.500  0.500  0.500

- density of states at the Fermi level (states/eV per cell) = 17.47
- M_tot (μB/cell) = 0.0
- energy above the lowest structure with this stoichiometry (meV/atom) = 427
- V (Å³/cell) = 105.5



No. 3
A plane-wave DFT calculation with PBE was carried out for PaSnW after structural relaxation.

a = 3.196 Å, b = 3.196 Å, c = 26.843 Å
α = 90.00°, β = 90.00°, γ = 90.00°
Space group I4/mmm (No. 139)
Symmetry-distinct sites (fractional):
Pa  0.000  0.000  0.145
Sn  0.000  0.000  0.446
W  0.000  0.000  0.278

- density of states at the Fermi level (states/eV per cell) = 15.93
- formation energy (meV per atom) = -8
- M_tot (μB/cell) = 0.0
- V (Å³/cell) = 274.1



No. 4
A plane-wave DFT calculation with PBE was carried out for Nd12Cu6Ru after structural relaxation.

a = 12.5756 Å, b = 12.5756 Å, c = 12.3976 Å
α = 90.00°, β = 90.00°, γ = 120.00°
Space group R-3 (No. 148, hexagonal axes)
Symmetry-distinct sites (fractional):
Nd  0.0261  0.8249  0.3914
Nd  0.0418  0.8442  0.8761
Cu  0.0458  0.7724  0.6441
Ru  0.0000  0.0000  0.0000

- density of states at the Fermi level (states/eV per cell) = 76.77
- formation energy (meV per atom) = 38
- M_tot (μB/cell) = 0.0
- V (Å³/cell) = 1698.0



Question: The lowest V belongs to which entry?
Answer: LaReRu2